No. 1
The following is a PBE-GGA calculation of crystalline YThAs2 at its relaxed geometry, from Alexandria via LeMat-Bulk.

Its energy relative to the elements is -5.30 eV/f.u. The calculation puts the density of states at the Fermi level at 0.71 states/eV/atom. The volume is 106.5 Å³ per cell. The value obtained for the energy above the most stable polymorph in this dataset is 0.154 eV/atom. As for the theoretical density: 7.34 g/cm³. As for the symmetry: R3m, No. 160.

```
4
Lattice="2.074 1.198 7.148 -2.074 1.198 7.148 0.000 -2.395 7.148" Properties=species:S:1:pos:R:3 pbc="T T T"
Y 0.000 0.000 0.000
Th 0.000 0.000 3.730
As 0.000 0.000 12.629
As 0.000 0.000 16.160
```

***

No. 2
The following is a PBE-GGA calculation of crystalline Cs2BeZn at its relaxed geometry, from Alexandria via LeMat-Bulk.

Its energy relative to the elements is 3.37 eV/f.u. The calculation puts the density of states at the Fermi level at 1.33 states/eV/atom. The volume is 389.5 Å³ per cell. The value obtained for the energy above the most stable polymorph in this dataset is 0.096 eV/atom. As for the theoretical density: 2.90 g/cm³. As for the symmetry: I-42d, No. 122.

```
8
Lattice="-5.000 5.000 3.895 5.000 -5.000 3.895 5.000 5.000 -3.895" Properties=species:S:1:pos:R:3 pbc="T T T"
Cs 7.500 2.395 -0.974
Cs 2.395 2.500 0.974
Cs -2.500 2.605 2.921
Cs 2.605 2.500 4.869
Be 0.000 0.000 0.000
Be 0.000 5.000 1.947
Zn 5.000 0.000 1.947
Zn 0.000 0.000 3.895
```

***

No. 3
The following is a PBE-GGA calculation of crystalline LaThInHg at its relaxed geometry, from Alexandria via LeMat-Bulk.

Its energy relative to the elements is -1.31 eV/f.u. The calculation puts the density of states at the Fermi level at 1.43 states/eV/atom. The volume is 118.1 Å³ per cell. The value obtained for the energy above the most stable polymorph in this dataset is 0.046 eV/atom. As for the theoretical density: 9.65 g/cm³. As for the symmetry: F-43m, No. 216.

```
4
Lattice="0.000 3.894 3.894 3.894 0.000 3.894 3.894 3.894 0.000" Properties=species:S:1:pos:R:3 pbc="T T T"
La 0.000 0.000 0.000
Th 3.894 3.894 3.894
In 5.841 5.841 5.841
Hg 1.947 1.947 1.947
```

***

No. 4
The following is a PBE-GGA calculation of crystalline MgReOs2 at its relaxed geometry, from Alexandria via LeMat-Bulk.

Its energy relative to the elements is 1.51 eV/f.u. The calculation puts the density of states at the Fermi level at 1.42 states/eV/atom. The volume is 59.6 Å³ per cell. As for the theoretical density: 16.47 g/cm³. As for the symmetry: I-4m2, No. 119.

```
4
Lattice="-1.898 1.898 4.134 1.898 -1.898 4.134 1.898 1.898 -4.134" Properties=species:S:1:pos:R:3 pbc="T T T"
Mg 0.000 0.000 0.000
Re 1.898 0.000 2.067
Os 0.000 0.000 4.134
Os 0.000 1.898 2.067
```

***

No. 5
The following is a PBE-GGA calculation of crystalline YScMo2 at its relaxed geometry, from Alexandria via LeMat-Bulk.

Its energy relative to the elements is 1.30 eV/f.u. The calculation puts the density of states at the Fermi level at 1.52 states/eV/atom. The volume is 78.3 Å³ per cell. The value obtained for the energy above the most stable polymorph in this dataset is 0.263 eV/atom. As for the theoretical density: 6.91 g/cm³. As for the symmetry: I-4m2, No. 119.

```
4
Lattice="-2.399 2.399 3.401 2.399 -2.399 3.401 2.399 2.399 -3.401" Properties=species:S:1:pos:R:3 pbc="T T T"
Y 0.000 0.000 0.000
Sc 0.000 2.399 1.700
Mo 2.399 0.000 1.700
Mo 0.000 0.000 3.401
```

***

No. 6
The following is a PBE-GGA calculation of crystalline TlCr2Hg at its relaxed geometry, from Alexandria via LeMat-Bulk.

Its energy relative to the elements is 3.03 eV/f.u. The calculation puts the density of states at the Fermi level at 0.57 states/eV/atom. The volume is 82.8 Å³ per cell. As for the theoretical density: 10.20 g/cm³. As for the symmetry: F-43m, No. 216.

```
4
Lattice="0.000 3.460 3.460 3.460 0.000 3.460 3.460 3.460 0.000" Properties=species:S:1:pos:R:3 pbc="T T T"
Tl 0.000 0.000 0.000
Cr 1.730 1.730 1.730
Cr 3.460 3.460 3.460
Hg 5.190 5.190 5.190
```

***

Copy entry 4 word for word.
The following is a PBE-GGA calculation of crystalline MgReOs2 at its relaxed geometry, from Alexandria via LeMat-Bulk.

Its energy relative to the elements is 1.51 eV/f.u. The calculation puts the density of states at the Fermi level at 1.42 states/eV/atom. The volume is 59.6 Å³ per cell. As for the theoretical density: 16.47 g/cm³. As for the symmetry: I-4m2, No. 119.

```
4
Lattice="-1.898 1.898 4.134 1.898 -1.898 4.134 1.898 1.898 -4.134" Properties=species:S:1:pos:R:3 pbc="T T T"
Mg 0.000 0.000 0.000
Re 1.898 0.000 2.067
Os 0.000 0.000 4.134
Os 0.000 1.898 2.067
```

***

Please write out number 3 again, unchanged.
The following is a PBE-GGA calculation of crystalline LaThInHg at its relaxed geometry, from Alexandria via LeMat-Bulk.

Its energy relative to the elements is -1.31 eV/f.u. The calculation puts the density of states at the Fermi level at 1.43 states/eV/atom. The volume is 118.1 Å³ per cell. The value obtained for the energy above the most stable polymorph in this dataset is 0.046 eV/atom. As for the theoretical density: 9.65 g/cm³. As for the symmetry: F-43m, No. 216.

```
4
Lattice="0.000 3.894 3.894 3.894 0.000 3.894 3.894 3.894 0.000" Properties=species:S:1:pos:R:3 pbc="T T T"
La 0.000 0.000 0.000
Th 3.894 3.894 3.894
In 5.841 5.841 5.841
Hg 1.947 1.947 1.947
```